4
Lattice="5.849 0.000 0.004 4.367 3.890 0.004 -0.003 -0.001 4.215" Properties=species:S:1:pos:R:3 comment="Ca2CuAs, optimized geometry, DFT GGA-PBE" formation_energy_ev_per_atom=-0.68 pbc="T T T"
Ca 0.177 0.068 0.526
As 3.119 1.187 0.529
Ca 7.518 2.863 2.639
Cu 4.505 1.715 2.641